Entry 1:
An optimized crystal structure of Be2SeF. Source: Alexandria via LeMat-Bulk, functional PBE.

spin magnetization: 0.0 μB per cell
energy relative to the elements, uncorrected: -75 kJ/mol of atoms
E above lowest polymorph: 0 meV per atom
space group: I-42d, No. 122

a b c (Å): 6.0653 6.0653 6.0653
angles (deg): 135.70 135.70 64.44
With the nearest neighbours (Å) after each atom.
Element x y z (fractional)
Be  0.0698  0.6250  0.9448  2 F 1.94
Be  0.3750  0.3198  0.4448  2 F 1.94
Be  0.6802  0.1250  0.0552  2 F 1.94
Be  0.8750  0.9302  0.5552  2 F 1.94
Se  0.2500  0.7500  0.5000  4 Be 2.21
Se  0.5000  0.5000  0.0000  4 Be 2.21
F  0.0000  0.0000  0.0000  4 Be 1.94
F  0.7500  0.2500  0.5000  4 Be 1.94

---

Entry 2:
An optimized crystal structure of Ac2BeTlPd6. Source: Alexandria via LeMat-Bulk, functional PBE.

spin magnetization: 0.0 μB per cell
space group: P-1, No. 2
ΔE_f: -6.0 eV/f.u.

a b c (Å): 6.0393 6.0495 7.6714
angles (deg): 67.39 66.98 60.10
With the nearest neighbours (Å) after each atom.
Element x y z (fractional)
Ac  0.2441  0.2484  0.2650  7 Pd 3.08-3.41
Ac  0.7559  0.7516  0.7350  7 Pd 3.08-3.41
Be  0.0000  0.0000  0.0000  6 Pd 2.19
Tl  0.5000  0.5000  0.5000  6 Pd 2.77-2.78
Pd  0.2345  0.2297  0.8216  1 Be 2.19
Pd  0.2336  0.7019  0.8291  1 Be 2.19
Pd  0.2892  0.7705  0.1762  1 Be 2.19
Pd  0.7108  0.2295  0.8238  1 Be 2.19
Pd  0.7664  0.2981  0.1709  1 Be 2.19
Pd  0.7655  0.7703  0.1784  1 Be 2.19

---

Entry 3:
An optimized crystal structure of Pm6Au3N2. Source: Alexandria via LeMat-Bulk, functional PBE.

spin magnetization: 0.0 μB per cell
energy relative to the elements, uncorrected: -82 kJ/mol of atoms
space group: I4/mmm, No. 139

a b c (Å): 12.5655 12.5655 12.5655
angles (deg): 158.01 158.01 31.30
With the nearest neighbours (Å) after each atom.
Element x y z (fractional)
Pm  0.0850  0.5850  0.5000  2 N 2.46
Pm  0.2006  0.2006  0.0000  1 N 2.27
Pm  0.4150  0.9150  0.5000  2 N 2.46
Pm  0.5850  0.0850  0.5000  2 N 2.46
Pm  0.7994  0.7994  0.0000  1 N 2.27
Pm  0.9150  0.4150  0.5000  2 N 2.46
Au  0.3266  0.3266  0.0000  5 Pm 3.05-3.21
Au  0.5000  0.5000  0.0000  8 Pm 3.16
Au  0.6734  0.6734  0.0000  5 Pm 3.05-3.21
N  0.1070  0.1070  0.0000  5 Pm 2.27-2.46
N  0.8930  0.8930  0.0000  5 Pm 2.27-2.46

---

Entry 4:
An optimized crystal structure of Pr2Er8Th. Source: Alexandria via LeMat-Bulk, functional PBE.

spin magnetization: 0.0 μB per cell
E above lowest polymorph: 0 meV per atom
space group: C2/m, No. 12
ΔE_f: 0.3 eV/f.u.

a b c (Å): 9.4054 9.4054 7.9407
angles (deg): 104.60 104.60 31.06
With the nearest neighbours (Å) after each atom.
Element x y z (fractional)
Pr  0.2278  0.2278  0.1365  2 Pr 3.55, 10 Er 3.56-3.61
Pr  0.7722  0.7722  0.8635  2 Pr 3.55, 10 Er 3.56-3.61
Er  0.0436  0.0436  0.2315  9 Er 3.48-3.60, 2 Th 3.52, 1 Pr 3.61
Er  0.1338  0.1338  0.6755  7 Er 3.48-3.61, 2 Th 3.52, 3 Pr 3.59-3.61
Er  0.3206  0.3206  0.5934  1 Th 3.52, 8 Er 3.54-3.62, 3 Pr 3.56-3.58
Er  0.4114  0.4114  0.0492  8 Er 3.50-3.60, 1 Th 3.52, 3 Pr 3.57-3.60
Er  0.5886  0.5886  0.9508  8 Er 3.50-3.60, 1 Th 3.52, 3 Pr 3.57-3.60
Er  0.6794  0.6794  0.4066  1 Th 3.52, 8 Er 3.54-3.62, 3 Pr 3.56-3.58
Er  0.8662  0.8662  0.3245  7 Er 3.48-3.61, 2 Th 3.52, 3 Pr 3.59-3.61
Er  0.9564  0.9564  0.7685  9 Er 3.48-3.60, 2 Th 3.52, 1 Pr 3.61
Th  0.5000  0.5000  0.5000  12 Er 3.52

---

Entry 5:
An optimized crystal structure of La3SmS6. Source: Alexandria via LeMat-Bulk, functional PBE.

spin magnetization: 0.0 μB per cell
energy relative to the elements, uncorrected: -207 kJ/mol of atoms
E above lowest polymorph: 0 meV per atom
space group: R-3, No. 148

a b c (Å): 8.4076 8.4076 8.4076
angles (deg): 91.48 91.48 91.48
With the nearest neighbours (Å) after each atom.
Element x y z (fractional)
La  0.0656  0.7495  0.5738  6 S 2.86-2.94
La  0.2505  0.4262  0.9344  6 S 2.86-2.94
La  0.4262  0.9344  0.2505  6 S 2.86-2.94
La  0.5738  0.0656  0.7495  6 S 2.86-2.94
La  0.7495  0.5738  0.0656  6 S 2.86-2.94
La  0.9344  0.2505  0.4262  6 S 2.86-2.94
Sm  0.0000  0.0000  0.0000  6 S 2.77
Sm  0.5000  0.5000  0.5000  6 S 2.81
S  0.0366  0.6853  0.9069  1 Sm 2.77, 3 La 2.87-2.93
S  0.0931  0.9634  0.3147  1 Sm 2.77, 3 La 2.87-2.93
S  0.1879  0.4261  0.5901  1 Sm 2.81, 3 La 2.86-2.94
S  0.3147  0.0931  0.9634  1 Sm 2.77, 3 La 2.87-2.93
S  0.4099  0.8121  0.5739  1 Sm 2.81, 3 La 2.86-2.94
S  0.4261  0.5901  0.1879  1 Sm 2.81, 3 La 2.86-2.94
S  0.5739  0.4099  0.8121  1 Sm 2.81, 3 La 2.86-2.94
S  0.5901  0.1879  0.4261  1 Sm 2.81, 3 La 2.86-2.94
S  0.6853  0.9069  0.0366  1 Sm 2.77, 3 La 2.87-2.93
S  0.8121  0.5739  0.4099  1 Sm 2.81, 3 La 2.86-2.94
S  0.9069  0.0366  0.6853  1 Sm 2.77, 3 La 2.87-2.93
S  0.9634  0.3147  0.0931  1 Sm 2.77, 3 La 2.87-2.93

---

Entry 6:
An optimized crystal structure of PuInCu2. Source: Alexandria via LeMat-Bulk, functional PBE.

spin magnetization: 11.6 μB per cell
space group: Cmcm, No. 63
ΔE_f: 0.2 eV/f.u.

a b c (Å): 7.1179 7.1179 5.2383
angles (deg): 90.00 90.00 143.25
With the nearest neighbours (Å) after each atom.
Element x y z (fractional)
Pu  0.2164  0.7836  0.7500  6 Cu 2.95-3.05
Pu  0.7836  0.2164  0.2500  6 Cu 2.95-3.05
In  0.0630  0.9370  0.2500  4 Cu 2.68
In  0.9370  0.0630  0.7500  4 Cu 2.68
Cu  0.4079  0.5921  0.0190  2 Cu 2.42-2.50, 2 In 2.68
Cu  0.4079  0.5921  0.4810  2 Cu 2.42-2.50, 2 In 2.68
Cu  0.5921  0.4079  0.5190  2 Cu 2.42-2.50, 2 In 2.68
Cu  0.5921  0.4079  0.9810  2 Cu 2.42-2.50, 2 In 2.68

---

Entry 7:
An optimized crystal structure of Rb2ReAu. Source: Alexandria via LeMat-Bulk, functional PBE.

spin magnetization: 4.1 μB per cell
E above lowest polymorph: 276 meV per atom
space group: Fm-3m, No. 225
ΔE_f: 5.8 eV/f.u.

a b c (Å): 5.9349 5.9349 5.9349
angles (deg): 60.00 60.00 60.00
With the nearest neighbours (Å) after each atom.
Element x y z (fractional)
Rb  0.2500  0.2500  0.2500  4 Re 3.63, 4 Au 3.63
Rb  0.7500  0.7500  0.7500  4 Re 3.63, 4 Au 3.63
Re  0.0000  0.0000  0.0000  8 Rb 3.63
Au  0.5000  0.5000  0.5000  8 Rb 3.63

---

Entry 8:
An optimized crystal structure of SiMoPt2. Source: Alexandria via LeMat-Bulk, functional PBE.

spin magnetization: 0.0 μB per cell
energy relative to the elements, uncorrected: -24 kJ/mol of atoms
space group: P4/mmm, No. 123

a b c (Å): 2.8152 2.8152 7.5028
angles (deg): 90.00 90.00 90.00
With the nearest neighbours (Å) after each atom.
Element x y z (fractional)
Si  0.0000  0.0000  0.0000  8 Pt 2.63, 4 Si 2.82
Mo  0.0000  0.0000  0.5000  4 Mo 2.82, 8 Pt 2.85
Pt  0.5000  0.5000  0.2281  4 Si 2.63, 4 Pt 2.82, 4 Mo 2.85
Pt  0.5000  0.5000  0.7719  4 Si 2.63, 4 Pt 2.82, 4 Mo 2.85

---

Entry 9:
An optimized crystal structure of AgP2Br. Source: Alexandria via LeMat-Bulk, functional PBE.

spin magnetization: 0.0 μB per cell
energy relative to the elements, uncorrected: 44 kJ/mol of atoms
E above lowest polymorph: 429 meV per atom
space group: I4/mmm, No. 139

a b c (Å): 8.4327 8.4327 8.4327
angles (deg): 155.32 155.32 35.18
With the nearest neighbours (Å) after each atom.
Element x y z (fractional)
Ag  0.0000  0.0000  0.0000  4 Br 2.55
P  0.2500  0.7500  0.5000  4 P 2.55
P  0.7500  0.2500  0.5000  4 P 2.55
Br  0.5000  0.5000  0.0000  4 Ag 2.55

---

Entry 10:
An optimized crystal structure of ZrSeOF2. Source: Alexandria via LeMat-Bulk, functional PBE.

spin magnetization: 2.0 μB per cell
energy relative to the elements, uncorrected: -205 kJ/mol of atoms
E above lowest polymorph: 0 meV per atom
space group: P4/mmm, No. 123

a b c (Å): 4.3638 4.3638 4.1005
angles (deg): 90.00 90.00 90.00
With the nearest neighbours (Å) after each atom.
Element x y z (fractional)
Zr  0.0000  0.0000  0.0000  2 O 2.05, 4 F 2.18
Se  0.5000  0.5000  0.5000  8 F 2.99, 4 O 3.09
O  0.0000  0.0000  0.5000  2 Zr 2.05
F  0.0000  0.5000  0.0000  2 Zr 2.18
F  0.5000  0.0000  0.0000  2 Zr 2.18

---

Entry 11:
An optimized crystal structure of BaMgSi2. Source: Alexandria via LeMat-Bulk, functional PBE.

spin magnetization: 0.0 μB per cell
energy relative to the elements, uncorrected: -10 kJ/mol of atoms
space group: P4/mmm, No. 123

a b c (Å): 3.7374 3.7374 6.9873
angles (deg): 90.00 90.00 90.00
With the nearest neighbours (Å) after each atom.
Element x y z (fractional)
Ba  0.0000  0.0000  0.0000  2 Mg 3.49, 8 Si 3.51, 4 Ba 3.74
Mg  0.0000  0.0000  0.5000  8 Si 2.90
Si  0.5000  0.5000  0.3305  1 Si 2.37
Si  0.5000  0.5000  0.6695  1 Si 2.37

---

Entry 12:
An optimized crystal structure of La3Y2Er6Sc. Source: Alexandria via LeMat-Bulk, functional PBE.

spin magnetization: 0.0 μB per cell
space group: C2/m, No. 12
ΔE_f: 0.4 eV/f.u.

a b c (Å): 6.1688 6.1688 11.7605
angles (deg): 95.02 95.02 120.01
With the nearest neighbours (Å) after each atom.
Element x y z (fractional)
La  0.0000  0.0000  0.0000  6 La 3.56, 6 Er 3.62-3.63
La  0.3333  0.6667  0.0000  6 La 3.56, 6 Er 3.61-3.63
La  0.6667  0.3333  0.0000  6 La 3.56, 6 Er 3.61-3.63
Y  0.1664  0.8336  0.5000  6 Er 3.48-3.49, 3 Y 3.56, 3 Sc 3.56
Y  0.8336  0.1664  0.5000  6 Er 3.48-3.49, 3 Y 3.56, 3 Sc 3.56
Er  0.0897  0.4198  0.2575  1 Sc 3.47, 2 Y 3.49, 6 Er 3.53-3.58, 3 La 3.61-3.63
Er  0.2501  0.2501  0.7426  1 Sc 3.47, 2 Y 3.48, 6 Er 3.53-3.58, 3 La 3.62-3.63
Er  0.4198  0.0897  0.2575  1 Sc 3.47, 2 Y 3.49, 6 Er 3.53-3.58, 3 La 3.61-3.63
Er  0.5802  0.9103  0.7425  1 Sc 3.47, 2 Y 3.49, 6 Er 3.53-3.58, 3 La 3.61-3.63
Er  0.7499  0.7499  0.2574  1 Sc 3.47, 2 Y 3.48, 6 Er 3.53-3.58, 3 La 3.62-3.63
Er  0.9103  0.5802  0.7425  1 Sc 3.47, 2 Y 3.49, 6 Er 3.53-3.58, 3 La 3.61-3.63
Sc  0.5000  0.5000  0.5000  6 Er 3.47, 6 Y 3.56

---

Entry 13:
An optimized crystal structure of Tb2TeH. Source: Alexandria via LeMat-Bulk, functional PBE.

spin magnetization: 0.0 μB per cell
E above lowest polymorph: 0 meV per atom
space group: P2_1/c, No. 14

a b c (Å): 8.0563 6.3380 7.3394
angles (deg): 90.00 101.63 90.00
With the nearest neighbours (Å) after each atom.
Element x y z (fractional)
Tb  0.0556  0.1433  0.3129  3 H 2.22-2.23
Tb  0.0556  0.3567  0.8129  3 H 2.22-2.23
Tb  0.3133  0.6612  0.5309  1 H 2.24
Tb  0.3133  0.8388  0.0309  1 H 2.24
Tb  0.6867  0.1612  0.9691  1 H 2.24
Tb  0.6867  0.3388  0.4691  1 H 2.24
Tb  0.9444  0.6433  0.1871  3 H 2.22-2.23
Tb  0.9444  0.8567  0.6871  3 H 2.22-2.23
Te  0.3458  0.1283  0.6744  5 Tb 3.09-3.25, 2 H 3.20-3.26
Te  0.3458  0.3717  0.1744  5 Tb 3.09-3.25, 2 H 3.20-3.26
Te  0.6542  0.6283  0.8256  5 Tb 3.09-3.25, 2 H 3.20-3.26
Te  0.6542  0.8717  0.3256  5 Tb 3.09-3.25, 2 H 3.20-3.26
H  0.0645  0.6749  0.9398  4 Tb 2.22-2.24
H  0.0645  0.8251  0.4398  4 Tb 2.22-2.24
H  0.9355  0.1749  0.5602  4 Tb 2.22-2.24
H  0.9355  0.3251  0.0602  4 Tb 2.22-2.24

---

Entry 14:
An optimized crystal structure of Ho6TlZn5. Source: Alexandria via LeMat-Bulk, functional PBE.

spin magnetization: 0.0 μB per cell
space group: Cmmm, No. 65
ΔE_f: -4.0 eV/f.u.

a b c (Å): 8.0419 8.0419 7.2228
angles (deg): 90.00 90.00 143.29
With the nearest neighbours (Å) after each atom.
Element x y z (fractional)
Ho  0.0000  0.0000  0.2391  6 Zn 3.06-3.21, 2 Tl 3.16
Ho  0.0000  0.0000  0.7609  6 Zn 3.06-3.21, 2 Tl 3.16
Ho  0.3291  0.6709  0.2433  7 Zn 3.05-3.15, 1 Tl 3.20
Ho  0.3291  0.6709  0.7567  7 Zn 3.05-3.15, 1 Tl 3.20
Ho  0.6709  0.3291  0.2433  7 Zn 3.05-3.15, 1 Tl 3.20
Ho  0.6709  0.3291  0.7567  7 Zn 3.05-3.15, 1 Tl 3.20
Tl  0.5000  0.5000  0.5000  8 Ho 3.16-3.20
Zn  0.1661  0.8339  0.0000  8 Ho 3.05-3.08
Zn  0.1701  0.8299  0.5000  8 Ho 3.05-3.21
Zn  0.5000  0.5000  0.0000  8 Ho 3.06-3.15
Zn  0.8299  0.1701  0.5000  8 Ho 3.05-3.21
Zn  0.8339  0.1661  0.0000  8 Ho 3.05-3.08

---

Entry 15:
An optimized crystal structure of NpPd4Pt. Source: Alexandria via LeMat-Bulk, functional PBE.

spin magnetization: 2.8 μB per cell
E above lowest polymorph: 97 meV per atom
space group: F-43m, No. 216
ΔE_f: -1.4 eV/f.u.

a b c (Å): 5.2842 5.2842 5.2842
angles (deg): 60.00 60.00 60.00
With the nearest neighbours (Å) after each atom.
Element x y z (fractional)
Np  0.0000  0.0000  0.0000  12 Pd 3.10, 4 Pt 3.24
Pd  0.3752  0.3752  0.3752  6 Pd 2.64-2.65
Pd  0.3752  0.3752  0.8743  6 Pd 2.64-2.65
Pd  0.3752  0.8743  0.3752  6 Pd 2.64-2.65
Pd  0.8743  0.3752  0.3752  6 Pd 2.64-2.65
Pt  0.7500  0.7500  0.7500  12 Pd 3.10, 4 Np 3.24

---

Entry 16:
An optimized crystal structure of TiNiIr. Source: Alexandria via LeMat-Bulk, functional PBE.

spin magnetization: 0.0 μB per cell
E above lowest polymorph: 0 meV per atom
space group: I4mm, No. 107
ΔE_f: -1.4 eV/f.u.

a b c (Å): 4.9346 4.9346 4.9346
angles (deg): 143.94 143.94 51.91
With the nearest neighbours (Å) after each atom.
Element x y z (fractional)
Ti  0.0000  0.0000  0.0000  4 Ni 2.53, 4 Ir 2.61
Ni  0.3510  0.3510  0.0000  4 Ti 2.53, 5 Ir 2.71-2.79
Ir  0.6656  0.6656  0.0000  4 Ti 2.61, 5 Ni 2.71-2.79

---

Entry 17:
An optimized crystal structure of SrTmAl2Zn2. Source: Alexandria via LeMat-Bulk, functional PBE.

spin magnetization: 0.0 μB per cell
space group: P-3m1, No. 164
ΔE_f: -2.2 eV/f.u.

a b c (Å): 4.5611 4.5611 7.6699
angles (deg): 90.00 90.00 120.00
With the nearest neighbours (Å) after each atom.
Element x y z (fractional)
Sr  0.0000  0.0000  0.0000  6 Al 3.49, 6 Zn 3.52, 2 Tm 3.83
Tm  0.0000  0.0000  0.5000  6 Zn 3.03, 6 Al 3.05
Al  0.3333  0.6667  0.7006  3 Zn 2.63
Al  0.6667  0.3333  0.2994  3 Zn 2.63
Zn  0.3333  0.6667  0.3044  3 Al 2.63
Zn  0.6667  0.3333  0.6956  3 Al 2.63

---

Entry 18:
An optimized crystal structure of Al2CdCo. Source: Alexandria via LeMat-Bulk, functional PBE.

spin magnetization: 0.4 μB per cell
space group: P2/m, No. 10
ΔE_f: -0.8 eV/f.u.

a b c (Å): 2.9441 2.7836 7.9903
angles (deg): 90.00 97.98 90.00
With the nearest neighbours (Å) after each atom.
Element x y z (fractional)
Al  0.0702  0.0000  0.1803  4 Co 2.47-2.48
Al  0.9298  0.0000  0.8197  4 Co 2.47-2.48
Cd  0.0000  0.5000  0.5000  4 Cd 2.78-2.94, 4 Al 2.94
Co  0.5000  0.5000  0.0000  8 Al 2.47-2.48

---

Entry 19:
An optimized crystal structure of Na3Tb3GaS8. Source: Alexandria via LeMat-Bulk, functional PBE.

spin magnetization: 0.0 μB per cell
energy relative to the elements, uncorrected: -140 kJ/mol of atoms
space group: R-3m, No. 166

a b c (Å): 8.1247 8.1247 8.1247
angles (deg): 57.75 57.75 57.75
With the nearest neighbours (Å) after each atom.
Element x y z (fractional)
Na  0.0000  0.5000  0.5000  6 S 2.91-2.92
Na  0.5000  0.0000  0.5000  6 S 2.91-2.92
Na  0.5000  0.5000  0.0000  6 S 2.91-2.92
Tb  0.0000  0.0000  0.5000  6 S 2.74-2.76
Tb  0.0000  0.5000  0.0000  6 S 2.74-2.76
Tb  0.5000  0.0000  0.0000  6 S 2.74-2.76
Ga  0.5000  0.5000  0.5000  6 S 2.55
S  0.2429  0.2429  0.2429  3 Tb 2.74, 3 Na 2.91
S  0.2626  0.7256  0.7256  1 Ga 2.55, 2 Tb 2.76
S  0.2744  0.2744  0.7374  1 Ga 2.55, 2 Tb 2.76
S  0.2744  0.7374  0.2744  1 Ga 2.55, 2 Tb 2.76
S  0.7256  0.2626  0.7256  1 Ga 2.55, 2 Tb 2.76
S  0.7256  0.7256  0.2626  1 Ga 2.55, 2 Tb 2.76
S  0.7374  0.2744  0.2744  1 Ga 2.55, 2 Tb 2.76
S  0.7571  0.7571  0.7571  3 Tb 2.74, 3 Na 2.91

---

Entry 20:
An optimized crystal structure of CoSi4Pt. Source: Alexandria via LeMat-Bulk, functional PBE.

spin magnetization: 0.0 μB per cell
energy relative to the elements, uncorrected: 44 kJ/mol of atoms
space group: F-43m, No. 216

a b c (Å): 4.8951 4.8951 4.8951
angles (deg): 60.00 60.00 60.00
With the nearest neighbours (Å) after each atom.
Element x y z (fractional)
Co  0.0000  0.0000  0.0000  12 Si 2.87, 4 Pt 3.00
Si  0.1235  0.6255  0.6255  6 Si 2.44-2.46
Si  0.6255  0.1235  0.6255  6 Si 2.44-2.46
Si  0.6255  0.6255  0.1235  6 Si 2.44-2.46
Si  0.6255  0.6255  0.6255  6 Si 2.44-2.46
Pt  0.2500  0.2500  0.2500  12 Si 2.87, 4 Co 3.00